[1]
4
Lattice="3.9022 0.0000 0.0000 0.0000 3.9022 0.0000 0.0000 0.0000 9.1771" Properties=species:S:1:pos:R:3 comment="Ba2SbAs | Alexandria | PBE-GGA | optimized geometry" de_polymorph_ev_per_atom=0.107 raw_formation_energy_ev_per_atom=-0.85 mass_density_g_cm3=5.60 pbc="T T T"
Ba 0.0000 0.0000 2.0554
Ba 0.0000 0.0000 7.1217
Sb 1.9511 1.9511 4.5885
As 1.9511 1.9511 0.0000

---

[2]
15
Lattice="8.8201 -2.2087 0.0000 8.8201 2.2087 0.0000 -1.2113 0.0000 9.9791" Properties=species:S:1:pos:R:3 comment="Sn3Au2 | Alexandria | PBE-GGA | optimized geometry" formation_enthalpy_0k_mev_per_atom=-122 mass_density_g_cm3=9.61 pbc="T T T"
Sn 0.0000 0.0000 0.0000
Sn -0.2472 0.0000 6.5065
Sn 4.7007 0.0000 3.8575
Sn 5.6882 0.0000 0.2943
Sn 5.8617 0.0000 7.1907
Sn 10.5672 0.0000 2.7885
Sn 10.7407 0.0000 9.6848
Sn 11.7282 0.0000 6.1216
Sn 16.6761 0.0000 3.4726
Au 1.8920 0.0000 4.6703
Au 3.0769 0.0000 1.4607
Au 7.9761 0.0000 1.7907
Au 8.4527 0.0000 8.1884
Au 13.3520 0.0000 8.5184
Au 14.5369 0.0000 5.3088

---

[3]
12
Lattice="4.4661 0.0000 0.0000 -2.2330 3.8677 0.0000 0.0000 0.0000 16.0669" Properties=species:S:1:pos:R:3 comment="SrLi2Pd | Alexandria | PBE-GGA | optimized geometry" de_polymorph_ev_per_atom=0.069 formation_enthalpy_0k_mev_per_atom=-261 mass_density_g_cm3=3.73 pbc="T T T"
Sr 0.0000 0.0000 0.0000
Sr 0.0000 2.5785 10.7113
Sr 2.2330 1.2892 5.3556
Li 0.0000 0.0000 3.1929
Li 0.0000 0.0000 12.8740
Li 0.0000 2.5785 7.5184
Li 0.0000 2.5785 13.9042
Li 2.2330 1.2892 2.1627
Li 2.2330 1.2892 8.5485
Pd 0.0000 0.0000 8.0334
Pd 0.0000 2.5785 2.6778
Pd 2.2330 1.2892 13.3891

---

[4]
8
Lattice="6.3500 0.0000 0.0000 0.0000 7.0826 0.0000 0.0000 0.0000 3.3962" Properties=species:S:1:pos:R:3 comment="CuTcTe2 | Alexandria | PBE-GGA | optimized geometry" de_polymorph_ev_per_atom=0.366 raw_formation_energy_ev_per_atom=0.50 mass_density_g_cm3=9.06 pbc="T T T"
Cu 0.0000 0.0000 0.0000
Cu 3.1750 3.5413 0.0000
Tc 0.0000 3.5413 0.0000
Tc 3.1750 0.0000 0.0000
Te 1.5875 1.7706 1.6981
Te 1.5875 5.3119 1.6981
Te 4.7625 1.7706 1.6981
Te 4.7625 5.3119 1.6981

---

[5]
10
Lattice="6.2070 0.0000 0.0000 0.0923 6.2438 0.0000 0.7744 0.6484 10.4908" Properties=species:S:1:pos:R:3 comment="KPBr3 | Alexandria | PBE-GGA | optimized geometry" de_polymorph_ev_per_atom=0.000 raw_formation_energy_ev_per_atom=-0.85 mass_density_g_cm3=2.53 pbc="T T T"
K 0.0000 0.0000 0.0000
K 3.1428 3.1249 0.0713
P 4.6331 1.4927 4.3053
P 5.4810 2.2798 6.2576
Br 0.8101 3.7675 9.5481
Br 0.4583 1.0298 3.4154
Br 3.4499 2.7437 7.1495
Br 3.1990 6.2499 1.0154
Br 4.2101 3.5550 3.4660
Br 5.9963 6.4614 7.0976

---

[6]
8
Lattice="5.9318 0.0000 0.0000 0.0000 9.5143 0.0000 -0.0084 0.0000 2.9749" Properties=species:S:1:pos:R:3 comment="Ca2BeW | Alexandria | PBE-GGA | optimized geometry" formation_enthalpy_0k_mev_per_atom=993 mass_density_g_cm3=5.40 pbc="T T T"
Ca 1.4829 2.3786 0.0000
Ca 1.4829 7.1357 0.0000
Ca 4.4488 2.3786 0.0000
Ca 4.4488 7.1357 0.0000
Be -0.0042 0.0000 1.4874
Be 2.9617 4.7572 1.4874
W -0.0042 4.7572 1.4874
W 2.9617 0.0000 1.4874

---

[7]
5
Lattice="4.8841 0.0000 0.0000 0.0000 4.8841 0.0000 0.0000 0.0000 4.6517" Properties=species:S:1:pos:R:3 comment="LiSc2TiRh | Alexandria | PBE-GGA | optimized geometry" formation_enthalpy_0k_mev_per_atom=253 mass_density_g_cm3=3.71 pbc="T T T"
Li 0.0000 0.0000 0.0000
Sc 0.0000 2.4421 2.3258
Sc 2.4421 0.0000 2.3258
Ti 2.4421 2.4421 0.0000
Rh 0.0000 0.0000 2.3258

---

[8]
8
Lattice="7.4947 0.0000 0.0000 0.0000 4.3312 0.0000 -2.4926 0.0000 7.0851" Properties=species:S:1:pos:R:3 comment="Pr4SbAs2S | Alexandria | PBE-GGA | optimized geometry" raw_formation_energy_ev_per_atom=-1.55 mass_density_g_cm3=6.26 pbc="T T T"
Pr 1.1954 0.0000 1.6986
Pr -0.0428 2.1656 5.3601
Pr 5.0449 2.1656 1.7251
Pr 3.8067 0.0000 5.3866
Sb 2.5011 2.1656 3.5426
As 0.0000 2.1656 0.0000
As 3.7474 0.0000 0.0000
S -1.2463 0.0000 3.5426

---

[9]
16
Lattice="7.0350 0.0000 0.0000 0.0000 7.0350 0.0000 0.0000 0.0000 11.1817" Properties=species:S:1:pos:R:3 comment="Te2MoCl | Alexandria | PBE-GGA | optimized geometry" de_polymorph_ev_per_atom=0.375 raw_formation_energy_ev_per_atom=0.21 mass_density_g_cm3=4.64 pbc="T T T"
Te 1.2757 1.7588 1.3977
Te 1.7588 4.7932 4.1931
Te 1.7588 5.7593 9.7840
Te 2.2418 1.7588 6.9886
Te 4.7932 5.2763 6.9886
Te 5.2763 1.2757 9.7840
Te 5.2763 2.2418 4.1931
Te 5.7593 5.2763 1.3977
Mo 0.0000 0.0000 0.0000
Mo 0.0000 3.5175 2.7954
Mo 3.5175 0.0000 8.3863
Mo 3.5175 3.5175 5.5909
Cl 0.0000 0.0000 5.5909
Cl 0.0000 3.5175 8.3863
Cl 3.5175 0.0000 2.7954
Cl 3.5175 3.5175 0.0000

---

[10]
16
Lattice="7.2603 0.0000 0.0000 0.0000 7.2603 0.0000 0.0000 0.0000 7.2603" Properties=species:S:1:pos:R:3 comment="PmGdCdCo | Alexandria | PBE-GGA | optimized geometry" formation_enthalpy_0k_mev_per_atom=-97 mass_density_g_cm3=8.22 pbc="T T T"
Pm 0.0000 0.0000 0.0000
Pm 0.0000 3.6302 3.6302
Pm 3.6302 0.0000 3.6302
Pm 3.6302 3.6302 0.0000
Gd 0.0000 0.0000 3.6302
Gd 0.0000 3.6302 0.0000
Gd 3.6302 0.0000 0.0000
Gd 3.6302 3.6302 3.6302
Cd 1.8151 1.8151 5.4452
Cd 1.8151 5.4452 1.8151
Cd 5.4452 1.8151 1.8151
Cd 5.4452 5.4452 5.4452
Co 1.8151 1.8151 1.8151
Co 1.8151 5.4452 5.4452
Co 5.4452 1.8151 5.4452
Co 5.4452 5.4452 1.8151

---

[11]
4
Lattice="2.9934 0.0000 0.0000 0.0000 2.9934 0.0000 0.0000 0.0000 6.8135" Properties=species:S:1:pos:R:3 comment="NiHgRh2 | Alexandria | PBE-GGA | optimized geometry" formation_enthalpy_0k_mev_per_atom=171 mass_density_g_cm3=12.65 pbc="T T T"
Ni 0.0000 0.0000 0.0000
Hg 0.0000 0.0000 3.4067
Rh 1.4967 1.4967 1.4176
Rh 1.4967 1.4967 5.3959

---

[12]
5
Lattice="5.7649 0.0000 0.0000 0.0000 5.7649 0.0000 0.0000 0.0000 5.2477" Properties=species:S:1:pos:R:3 comment="TlCoIrBr2 | Alexandria | PBE-GGA | optimized geometry" raw_formation_energy_ev_per_atom=1.55 mass_density_g_cm3=5.86 pbc="T T T"
Tl 0.0000 0.0000 0.0000
Co 2.8825 2.8825 2.6238
Ir 0.0000 0.0000 2.6238
Br 0.0000 2.8825 0.0000
Br 2.8825 0.0000 0.0000